[1]
{"formula": "Cs2Pt", "functional": "GGA-PBEsol", "state": "optimized geometry", "ef_ev_per_atom": 0.07, "magmom_total_mub_per_cell": 0.3, "cell": [[5.6514, 0.0000, 0.0000], [-2.8257, 4.8943, 0.0000], [0.0000, 0.0000, 7.6218]], "species": ["Cs", "Cs", "Cs", "Cs", "Pt", "Pt"], "fractional_positions": [[0.0000, 0.0000, 0.0000], [0.0000, 0.0000, 0.5000], [0.3333, 0.6667, 0.2500], [0.6667, 0.3333, 0.7500], [0.3333, 0.6667, 0.7500], [0.6667, 0.3333, 0.2500]]}

[2]
{"formula": "CsRb3Pt", "functional": "GGA-PBEsol", "state": "optimized geometry", "ef_ev_per_atom": 1.11, "magmom_total_mub_per_cell": 0.1, "cell": [[7.2413, 0.0000, 0.0000], [0.0000, 7.2413, 0.0000], [0.0000, 0.0000, 7.2413]], "species": ["Cs", "Rb", "Rb", "Rb", "Pt"], "fractional_positions": [[0.0000, 0.0000, 0.0000], [0.0000, 0.0000, 0.5000], [0.0000, 0.5000, 0.0000], [0.5000, 0.0000, 0.0000], [0.5000, 0.5000, 0.5000]]}

[3]
{"formula": "Cs2RbPt", "functional": "GGA-PBEsol", "state": "optimized geometry", "ef_ev_per_atom": 0.25, "magmom_total_mub_per_cell": 0.0, "cell": [[0.0000, 4.1992, 4.1992], [4.1992, 0.0000, 4.1992], [4.1992, 4.1992, 0.0000]], "species": ["Cs", "Cs", "Rb", "Pt"], "fractional_positions": [[0.2500, 0.2500, 0.2500], [0.7500, 0.7500, 0.7500], [0.0000, 0.0000, 0.0000], [0.5000, 0.5000, 0.5000]]}

Which mass density belongs to each record? In order, 7.261, 2.556, 6.126 g cm⁻³.